Entry 1:
CdFeCoBi | PBE | optimized geometry

POSCAR file:
```
CdFeCoBi
1.0
6.485 0.000 0.000
0.000 6.485 0.000
0.000 0.000 6.485
Cd Fe Co Bi
4 4 4 4
Direct
0.000 0.000 0.000
0.000 0.500 0.500
0.500 0.000 0.500
0.500 0.500 0.000
0.250 0.250 0.250
0.250 0.750 0.750
0.750 0.250 0.750
0.750 0.750 0.250
0.250 0.250 0.750
0.250 0.750 0.250
0.750 0.250 0.250
0.750 0.750 0.750
0.000 0.000 0.500
0.000 0.500 0.000
0.500 0.000 0.000
0.500 0.500 0.500
```

Computed properties:
E_tot, eV/atom: -4.582
SG: F-43m (216)
Relative energy among the computed polymorphs, eV per atom: 0.000


Entry 2:
CdCoBiIr | PBE | optimized geometry

POSCAR file:
```
CdCoBiIr
1.0
6.578 0.000 0.000
0.000 6.578 0.000
0.000 0.000 6.578
Cd Co Bi Ir
4 4 4 4
Direct
0.000 0.000 0.000
0.000 0.500 0.500
0.500 0.000 0.500
0.500 0.500 0.000
0.250 0.250 0.750
0.250 0.750 0.250
0.750 0.250 0.250
0.750 0.750 0.750
0.000 0.000 0.500
0.000 0.500 0.000
0.500 0.000 0.000
0.500 0.500 0.500
0.250 0.250 0.250
0.250 0.750 0.750
0.750 0.250 0.750
0.750 0.750 0.250
```

Computed properties:
E_tot, eV/atom: -4.850
SG: F-43m (216)
Relative energy among the computed polymorphs, eV per atom: 0.000